1.
Mn2Tc2As: optimized geometry, PBE.

a = 7.309 Å, b = 7.309 Å, c = 7.309 Å
α = 155.17°, β = 155.17°, γ = 35.40°
Fractional positions:
Mn: 0.250 0.750 0.500
Mn: 0.750 0.250 0.500
Tc: 0.103 0.103 0.000
Tc: 0.897 0.897 0.000
As: 0.500 0.500 0.000

* excess energy over the best structure of this formula in the dataset: 0 meV per atom
* theoretical density: 9.20 g cm⁻³
* formation energy: 0.203 eV per atom

***

2.
Mn2TcAs: optimized geometry, PBE.

a = 2.743 Å, b = 2.743 Å, c = 7.827 Å
α = 90.00°, β = 90.00°, γ = 105.87°
Fractional positions:
Mn: 0.000 0.000 0.249
Mn: 0.000 0.000 0.751
Tc: 0.500 0.500 0.500
As: 0.500 0.500 0.000

* theoretical density: 8.29 g cm⁻³
* formation energy: 0.204 eV per atom

***

3.
MnTcAs: optimized geometry, PBE.

a = 3.970 Å, b = 3.970 Å, c = 3.970 Å
α = 60.00°, β = 60.00°, γ = 60.00°
Fractional positions:
Mn: 0.000 0.000 0.000
Tc: 0.750 0.750 0.750
As: 0.250 0.250 0.250

* excess energy over the best structure of this formula in the dataset: 0 meV per atom
* theoretical density: 8.55 g cm⁻³
* formation energy: -0.094 eV per atom

***

4.
MnTcAs: optimized geometry, PBE.

a = 4.072 Å, b = 4.072 Å, c = 2.790 Å
α = 90.00°, β = 90.00°, γ = 120.00°
Fractional positions:
Mn: 0.000 0.000 0.000
Tc: 0.333 0.667 0.500
As: 0.667 0.333 0.000

* excess energy over the best structure of this formula in the dataset: 145 meV per atom
* theoretical density: 9.45 g cm⁻³
* formation energy: 0.051 eV per atom

***

5.
MnTc2As: optimized geometry, PBE.

a = 4.795 Å, b = 4.795 Å, c = 4.795 Å
α = 134.00°, β = 134.00°, γ = 67.09°
Fractional positions:
Mn: 0.000 0.000 0.000
Tc: 0.250 0.750 0.500
Tc: 0.500 0.500 0.000
As: 0.750 0.250 0.500

* theoretical density: 9.64 g cm⁻³
* formation energy: 0.085 eV per atom

***

6.
Mn2TcAs: optimized geometry, PBE.

a = 4.144 Å, b = 4.144 Å, c = 2.959 Å
α = 90.00°, β = 90.00°, γ = 90.00°
Fractional positions:
Mn: 0.000 0.500 0.000
Mn: 0.500 0.000 0.000
Tc: 0.000 0.000 0.500
As: 0.500 0.500 0.500

* theoretical density: 9.24 g cm⁻³
* formation energy: 0.201 eV per atom

***

7.
Mn2TcAs: optimized geometry, PBE.

a = 5.438 Å, b = 5.438 Å, c = 5.438 Å
α = 103.03°, β = 103.03°, γ = 123.30°
Fractional positions:
Mn: 0.117 0.625 0.992
Mn: 0.375 0.367 0.492
Mn: 0.633 0.125 0.008
Mn: 0.875 0.883 0.508
Tc: 0.250 0.750 0.500
Tc: 0.500 0.500 0.000
As: 0.000 0.000 0.000
As: 0.750 0.250 0.500

* theoretical density: 7.94 g cm⁻³
* formation energy: 0.371 eV per atom

***

8.
Mn2TcAs: optimized geometry, PBE.

a = 4.837 Å, b = 4.837 Å, c = 4.837 Å
α = 142.89°, β = 129.61°, γ = 64.22°
Fractional positions:
Mn: 0.240 0.240 0.000
Mn: 0.760 0.760 0.000
Tc: 0.500 0.000 0.500
As: 0.000 0.500 0.500

* theoretical density: 9.04 g cm⁻³
* formation energy: 0.045 eV per atom

***

9.
MnTc2As: optimized geometry, PBE.

a = 5.012 Å, b = 5.012 Å, c = 5.012 Å
α = 144.86°, β = 129.71°, γ = 62.83°
Fractional positions:
Mn: 0.000 0.000 0.000
Tc: 0.262 0.762 0.500
Tc: 0.532 0.532 0.000
As: 0.774 0.274 0.500

* theoretical density: 9.82 g cm⁻³
* formation energy: -0.011 eV per atom

***

10.
Mn2TcAs4: optimized geometry, PBE.

a = 6.462 Å, b = 6.462 Å, c = 6.166 Å
α = 114.39°, β = 114.39°, γ = 28.30°
Fractional positions:
Mn: 0.244 0.244 0.187
Mn: 0.756 0.756 0.813
Tc: 0.500 0.500 0.500
As: 0.149 0.149 0.470
As: 0.401 0.401 0.052
As: 0.599 0.599 0.948
As: 0.851 0.851 0.530

* theoretical density: 7.63 g cm⁻³
* formation energy: -0.202 eV per atom

***

11.
MnTc4As: optimized geometry, PBE.

a = 5.146 Å, b = 5.146 Å, c = 5.146 Å
α = 60.00°, β = 60.00°, γ = 60.00°
Fractional positions:
Mn: 0.000 0.000 0.000
Tc: 0.125 0.625 0.625
Tc: 0.625 0.125 0.625
Tc: 0.625 0.625 0.125
Tc: 0.625 0.625 0.625
As: 0.250 0.250 0.250

* theoretical density: 8.99 g cm⁻³
* formation energy: 0.526 eV per atom

***

12.
Mn2TcAs: optimized geometry, PBE.

a = 3.707 Å, b = 3.707 Å, c = 3.905 Å
α = 90.00°, β = 90.00°, γ = 90.00°
Fractional positions:
Mn: 0.000 0.500 0.000
Mn: 0.500 0.000 0.000
Tc: 0.000 0.000 0.500
As: 0.500 0.500 0.500

* theoretical density: 8.75 g cm⁻³
* formation energy: 0.024 eV per atom

***

13.
MnTc2As: optimized geometry, PBE.

a = 3.986 Å, b = 5.087 Å, c = 5.087 Å
α = 32.05°, β = 90.00°, γ = 90.00°
Fractional positions:
Mn: 0.000 0.000 0.000
Tc: 0.000 0.256 0.256
Tc: 0.500 0.613 0.613
As: 0.500 0.871 0.871

* theoretical density: 9.89 g cm⁻³
* formation energy: 0.076 eV per atom

***

14.
MnTc2As: optimized geometry, PBE.

a = 4.432 Å, b = 2.896 Å, c = 4.809 Å
α = 90.00°, β = 111.42°, γ = 90.00°
Fractional positions:
Mn: 0.000 0.000 0.000
Tc: 0.500 0.000 0.500
Tc: 0.500 0.500 0.000
As: 0.000 0.500 0.500

* theoretical density: 9.42 g cm⁻³
* formation energy: 0.109 eV per atom

***

15.
MnTc2As: optimized geometry, PBE.

a = 4.735 Å, b = 4.735 Å, c = 4.414 Å
α = 106.93°, β = 106.93°, γ = 36.60°
Fractional positions:
Mn: 0.000 0.000 0.000
Tc: 0.508 0.508 0.509
Tc: 0.745 0.745 0.130
As: 0.254 0.254 0.659

* theoretical density: 9.64 g cm⁻³
* formation energy: -0.010 eV per atom

***

Uncorrected energy across the listed records, respectively: -0.314 -0.299 -0.300 -0.294 -0.314 -0.299 -0.293 -0.305 -0.318 -0.256 -0.319 -0.306 -0.315 -0.313 -0.318 hartree per atom.